First-principles (PBE) data for a relaxed PrY2As crystal, as listed in the Alexandria database.

Summary:
space-group type	R3m
spin magnetization	0.45	μB per formula unit
ΔH_f (0 K)	-659.0	meV per atom

```
data_PrY2As
_cell_length_a 3.914
_cell_length_b 3.914
_cell_length_c 9.689
_cell_angle_alpha 78.35
_cell_angle_beta 78.35
_cell_angle_gamma 60.00
_space_group_name_H-M_alt 'P 1'
_space_group_IT_number 1
_space_group_name_Hall 'P 1'
loop_
_atom_site_label
_atom_site_fract_x
_atom_site_fract_y
_atom_site_fract_z
_atom_site_occupancy
Pr1 0.501 0.501 0.498 1
Y1 0.273 0.273 0.181 1
Y2 0.060 0.060 0.819 1
As1 0.666 0.666 0.002 1
```